A plane-wave DFT calculation with PBE-GGA was carried out for a geometry-optimized CdIrPt4 structure.

As for the crystal system: monoclinic. The energy above the most stable polymorph in this dataset comes out at 0.000 eV/atom. Its theoretical density is 16.165 g/cm3. Its energy of formation from the pure elements is 0.1455 eV/atom. The total DFT energy (no corrections) comes out at -132.3 eV/cell. Its density of states at the Fermi level is 25.337 states/eV/cell.

Lattice parameters (Å, degrees): 9.168 10.181 5.308 90.00 115.85 90.00
Space group C2/c (No. 15)
Symmetry-distinct sites (fractional):
Cd (0.000, 0.112, 0.250) [4 per cell]
Ir (0.000, 0.331, 0.750) [4 per cell]
Pt (0.175, 0.465, 0.540) [8 per cell]
Pt (0.243, 0.283, 0.239) [8 per cell]